[1]
Compound: Dy2YTm
Source: Alexandria via LeMat-Bulk
Functional: PBE
Structure: relaxed

Cell and atoms, written as POSCAR:
```
Dy2YTm
1.0
6.911 0.000 0.000
0.000 6.749 -1.541
0.000 -4.319 12.216
Dy Tm Y
8 4 4
direct
0.876 0.487 0.113 Dy
0.876 0.013 0.387 Dy
0.374 0.988 0.112 Dy
0.124 0.513 0.887 Dy
0.626 0.012 0.888 Dy
0.124 0.987 0.613 Dy
0.626 0.488 0.612 Dy
0.374 0.512 0.388 Dy
0.125 0.012 0.888 Tm
0.875 0.512 0.388 Tm
0.875 0.988 0.112 Tm
0.125 0.488 0.612 Tm
0.375 0.487 0.113 Y
0.625 0.987 0.613 Y
0.625 0.513 0.887 Y
0.375 0.013 0.387 Y
```

Computed properties:
The formation energy comes out at 0.22 eV per atom. Its space group is P2/c. The total energy comes out at -4.818 eV/atom. The offset from the most stable computed form comes out at 0.205 eV per atom.

[2]
Compound: Dy4Y3Tm
Source: Alexandria via LeMat-Bulk
Functional: PBE
Structure: relaxed

Cell and atoms, written as POSCAR:
```
Dy4Y3Tm
1.0
3.449 0.000 -0.435
-0.168 6.503 -1.328
-0.266 -0.978 11.779
Tm Y Dy
1 3 4
direct
0.500 0.000 0.000 Tm
0.875 0.119 0.751 Y
0.000 0.500 0.000 Y
0.125 0.881 0.249 Y
0.876 0.633 0.752 Dy
0.124 0.367 0.248 Dy
0.261 0.758 0.521 Dy
0.739 0.242 0.479 Dy
```

Computed properties:
The formation energy comes out at 0.17 eV per atom. Its space group is C2/m. The total energy comes out at -5.116 eV/atom. The offset from the most stable computed form comes out at 0.165 eV per atom.

[3]
Compound: Dy3Y2Tm
Source: Alexandria via LeMat-Bulk
Functional: PBE
Structure: relaxed

Cell and atoms, written as POSCAR:
```
Dy3Y2Tm
1.0
-2.653 -5.999 -1.359
5.238 -3.018 3.100
-3.922 3.814 7.329
Y Dy Tm
4 6 2
direct
0.260 0.366 0.648 Y
0.612 0.134 0.352 Y
0.388 0.866 0.648 Y
0.740 0.634 0.352 Y
0.203 0.525 0.294 Dy
0.091 0.025 0.294 Dy
0.749 0.250 0.000 Dy
0.797 0.475 0.706 Dy
0.251 0.750 0.000 Dy
0.909 0.975 0.706 Dy
0.734 0.750 0.000 Tm
0.266 0.250 0.000 Tm
```

Computed properties:
The formation energy comes out at 0.14 eV per atom. Its space group is C2/c. The total energy comes out at -5.058 eV/atom. The offset from the most stable computed form comes out at 0.140 eV per atom.

[4]
Compound: Dy4Y5Tm2
Source: Alexandria via LeMat-Bulk
Functional: PBE
Structure: relaxed

Cell and atoms, written as POSCAR:
```
Dy4Y5Tm2
1.0
7.406 0.000 0.000
3.703 5.410 0.885
3.703 1.450 9.085
Tm Y Dy
2 5 4
direct
0.144 0.832 0.879 Tm
0.856 0.168 0.121 Tm
0.209 0.359 0.781 Y
0.348 0.641 0.219 Y
0.000 0.500 0.500 Y
0.791 0.641 0.219 Y
0.652 0.359 0.781 Y
0.330 0.219 0.121 Dy
0.670 0.781 0.879 Dy
0.682 0.135 0.501 Dy
0.318 0.865 0.499 Dy
```

Computed properties:
The formation energy comes out at 0.14 eV per atom. Its space group is C2/m. The total energy comes out at -5.286 eV/atom. The offset from the most stable computed form comes out at 0.116 eV per atom.